# Pa2SiAu3 GGA-PBE relaxed
data_Pa2SiAu3
_chemical_formula_sum 'Pa4 Si2 Au6'
_cell_length_a 3.8619
_cell_length_b 4.2704
_cell_length_c 16.0912
_cell_angle_alpha 90.00
_cell_angle_beta 90.00
_cell_angle_gamma 90.00
_space_group_name_H-M_alt 'I m m 2'
_space_group_IT_number 44
_space_group_name_Hall 'I 2 -2'
loop_
_atom_site_label
_atom_site_type_symbol
_atom_site_fract_x
_atom_site_fract_y
_atom_site_fract_z
Pa1 Pa 0.0000 0.0000 0.0000
Pa2 Pa 0.0000 0.5000 0.2591
Si1 Si 0.0000 0.0000 0.4279
Au1 Au 0.0000 0.0000 0.5783
Au2 Au 0.0000 0.5000 0.6773
Au3 Au 0.0000 0.5000 0.8420
# ΔE_f (raw)	-6.76	kcal/mol of atoms
# DOS at the Fermi energy	1.146	states/eV per atom
# magnetization	0.01	μB per atom